[1]
Material: Zr5HPt2
Method: DFT, GGA-PBE
State: optimized geometry

POSCAR file:
```
Zr5HPt2
1.0
6.276 -0.042 0.006
-0.042 6.277 -0.002
-3.114 -3.122 3.937
Zr Pt H
5 2 1
direct
0.747 0.765 0.513 Zr
0.249 0.286 0.158 Zr
0.240 0.618 0.857 Zr
0.872 0.909 0.158 Zr
0.609 0.263 0.873 Zr
0.240 0.769 0.507 Pt
0.738 0.267 0.508 Pt
0.081 0.900 0.981 H
```

Properties
DOS(E_F)	6.0	states/eV/cell
VASP energy	-62.7	eV/cell

[2]
Material: Eu2InAs
Method: DFT, GGA-PBE
State: optimized geometry

POSCAR file:
```
Eu2InAs
1.0
3.909 0.000 0.000
0.000 3.909 0.000
0.000 0.000 7.247
Eu In As
2 1 1
direct
0.000 0.000 0.781 Eu
0.000 0.000 0.219 Eu
0.500 0.500 0.500 In
0.500 0.500 0.000 As
```

Properties
DOS(E_F)	10.3	states/eV/cell
energy above the most stable polymorph in this dataset	0.000	eV per atom

[3]
Material: LiTaBr2
Method: DFT, GGA-PBE
State: optimized geometry

POSCAR file:
```
LiTaBr2
1.0
3.278 0.000 0.000
0.000 3.278 0.000
0.000 0.000 8.093
Br Ta Li
2 1 1
direct
0.000 0.000 0.922 Br
0.500 0.500 0.382 Br
0.500 0.500 0.716 Ta
0.000 0.000 0.480 Li
```

Properties
DOS(E_F)	2.4	states/eV/cell
energy above the most stable polymorph in this dataset	0.047	eV per atom

[4]
Material: K5Hf2Se6
Method: DFT, GGA-PBE
State: optimized geometry

POSCAR file:
```
K5Hf2Se6
1.0
7.862 0.169 1.076
3.170 7.196 1.076
0.768 0.513 17.440
Se K Hf
12 10 4
direct
0.029 0.075 0.128 Se
0.652 0.785 0.577 Se
0.971 0.925 0.872 Se
0.215 0.348 0.923 Se
0.334 0.385 0.142 Se
0.385 0.334 0.642 Se
0.348 0.215 0.423 Se
0.615 0.666 0.358 Se
0.785 0.652 0.077 Se
0.075 0.029 0.628 Se
0.925 0.971 0.372 Se
0.666 0.615 0.858 Se
0.658 0.342 0.250 K
0.284 0.034 0.270 K
0.214 0.691 0.501 K
0.786 0.309 0.499 K
0.691 0.214 0.001 K
0.309 0.786 0.999 K
0.716 0.966 0.730 K
0.966 0.716 0.230 K
0.034 0.284 0.770 K
0.342 0.658 0.750 K
0.352 0.102 0.572 Hf
0.648 0.898 0.428 Hf
0.898 0.648 0.928 Hf
0.102 0.352 0.072 Hf
```

Properties
VASP energy	-126.0	eV/cell

[5]
Material: SeCl2
Method: DFT, GGA-PBE
State: optimized geometry

POSCAR file:
```
SeCl2
1.0
6.660 0.000 0.000
0.000 6.660 0.000
0.000 0.000 6.660
Se Cl
4 8
direct
0.500 0.000 0.500 Se
0.500 0.500 0.000 Se
0.000 0.500 0.500 Se
0.000 0.000 0.000 Se
0.842 0.158 0.342 Cl
0.158 0.658 0.158 Cl
0.342 0.342 0.658 Cl
0.658 0.658 0.342 Cl
0.158 0.842 0.658 Cl
0.842 0.342 0.842 Cl
0.342 0.158 0.158 Cl
0.658 0.842 0.842 Cl
```

Properties
DOS(E_F)	6.6	states/eV/cell
VASP energy	-26.2	eV/cell

[6]
Material: LaZn2Os
Method: DFT, GGA-PBE
State: optimized geometry

POSCAR file:
```
LaZn2Os
1.0
-0.043 2.971 -3.762
-4.585 1.084 0.890
3.303 0.518 3.436
La Zn Os
1 2 1
direct
0.500 0.500 0.000 La
0.250 0.750 0.500 Zn
0.000 0.000 0.000 Zn
0.750 0.250 0.500 Os
```

Properties
DOS(E_F)	3.7	states/eV/cell
VASP energy	-17.8	eV/cell

Summary of spin magnetization in μB/cell
0.0 13.9 0.0 2.0 0.0 0.0
(order as listed above)